# Sr2ZnNiRu, optimized geometry, DFT PBE-GGA
# energy	-0.12875	hartree per atom
# energy relative to the elements	0.4354	eV/atom
# size of the total moment	0.000	μB per atom
data_Sr2ZnNiRu
_cell_length_a 5.7360
_cell_length_b 5.7360
_cell_length_c 4.4742
_cell_angle_alpha 90.00
_cell_angle_beta 90.00
_cell_angle_gamma 90.00
_symmetry_space_group_name_H-M 'P 4/m m m'
_symmetry_Int_Tables_number 123
_symmetry_space_group_name_Hall '-P 4 2'
loop_
_atom_site_label
_atom_site_fract_x
_atom_site_fract_y
_atom_site_fract_z
Sr1 0.0000 0.5000 0.0000
Zn1 0.0000 0.0000 0.5000
Ni1 0.5000 0.5000 0.5000
Ru1 0.5000 0.5000 0.0000

***

# Ac3Dy, optimized geometry, DFT PBE-GGA
# energy	-0.14685	hartree per atom
# energy relative to the elements	0.2358	eV/atom
# size of the total moment	0.001	μB per atom
data_Ac3Dy
_cell_length_a 3.7780
_cell_length_b 3.7810
_cell_length_c 12.0694
_cell_angle_alpha 90.00
_cell_angle_beta 90.00
_cell_angle_gamma 90.00
_symmetry_space_group_name_H-M 'P m m 2'
_symmetry_Int_Tables_number 25
loop_
_symmetry_equiv_pos_as_xyz
'x,y,z'
'-x,-y,z'
'-x,y,z'
'x,-y,z'
loop_
_atom_site_label
_atom_site_fract_x
_atom_site_fract_y
_atom_site_fract_z
Ac1 0.0000 0.0000 0.0000
Ac2 0.0000 0.5000 0.2842
Ac3 0.5000 0.5000 0.7580
Dy1 0.5000 0.0000 0.4994